1.
! ThTi2Hg (PBE-GGA, optimized geometry); values from VASP
! E_tot: -5.79 eV/atom
! Space-group type: P4/mmm (123)
! Energy of formation from the pure elements: 87 meV/atom
! Relative energy among the computed polymorphs: 7 meV per atom
&SYSTEM
  ibrav = 0, nat = 4, ntyp = 3
/
ATOMIC_SPECIES
Th 232.04 Th.upf
Ti 47.87 Ti.upf
Hg 200.59 Hg.upf
ATOMIC_POSITIONS crystal
Th 0.000 0.000 0.000
Ti 0.500 0.500 0.258
Ti 0.500 0.500 0.742
Hg 0.000 0.000 0.500
CELL_PARAMETERS angstrom
3.502 0.000 0.000
0.000 3.502 0.000
0.000 0.000 6.863

=====

2.
! Si2SeF (PBE-GGA, optimized geometry); values from VASP
! E_tot: -4.24 eV/atom
! Raw formation energy: -190 meV/atom
! Space-group type: I-42d (122)
! Relative energy among the computed polymorphs: 0 meV per atom
&SYSTEM
  ibrav = 0, nat = 8, ntyp = 3
/
ATOMIC_SPECIES
Si 28.09 Si.upf
Se 78.96 Se.upf
F 19.00 F.upf
ATOMIC_POSITIONS crystal
Si 0.121 0.625 0.996
Si 0.375 0.371 0.496
Si 0.629 0.125 0.004
Si 0.875 0.879 0.504
Se 0.250 0.750 0.500
Se 0.500 0.500 0.000
F 0.000 0.000 0.000
F 0.750 0.250 0.500
CELL_PARAMETERS angstrom
-3.454 3.454 2.827
3.454 -3.454 2.827
3.454 3.454 -2.827

=====

> Number 1 is which compound?

ThTi2Hg